No. 1
The following is a DFT calculation (PBE-GGA) of Ta2TiHRh after structural relaxation.

Values from the calculation:
* relative energy among the computed polymorphs: 0.0 meV/atom
* ρ: 12.426 g cm⁻³
* D(E_F): 3.77 states/eV/f.u.
* DFT total energy: -43.3 eV for the cell shown

a b c (Å): 4.3121 4.3121 3.6916
angles (deg): 90.00 90.00 90.00
Element x y z (fractional)
Ta (0.0000, 0.5000, 0.0000)
Ta (0.5000, 0.0000, 0.0000)
Ti (0.0000, 0.0000, 0.5000)
H (0.0000, 0.0000, 0.0000)
Rh (0.5000, 0.5000, 0.5000)

=====

No. 2
The following is a DFT calculation (PBE-GGA) of Ta2TiHRh after structural relaxation.

Values from the calculation:
* relative energy among the computed polymorphs: 60.5 meV/atom
* ρ: 12.193 g cm⁻³
* D(E_F): 3.82 states/eV/f.u.
* DFT total energy: -43.0 eV for the cell shown

a b c (Å): 3.9493 3.9493 4.4855
angles (deg): 90.00 90.00 90.00
Element x y z (fractional)
Ta (0.0000, 0.5000, 0.0000)
Ta (0.5000, 0.0000, 0.0000)
Ti (0.0000, 0.0000, 0.5000)
H (0.5000, 0.5000, 0.0000)
Rh (0.5000, 0.5000, 0.5000)

=====

No. 3
The following is a DFT calculation (PBE-GGA) of TaTi2HRh after structural relaxation.

Values from the calculation:
* relative energy among the computed polymorphs: 2.0 meV/atom
* ρ: 9.409 g cm⁻³
* D(E_F): 5.25 states/eV/f.u.
* DFT total energy: -39.8 eV for the cell shown

a b c (Å): 3.9904 3.9904 4.2182
angles (deg): 90.00 90.00 90.00
Element x y z (fractional)
Ta (0.0000, 0.0000, 0.0000)
Ti (0.0000, 0.5000, 0.5000)
Ti (0.5000, 0.0000, 0.5000)
H (0.0000, 0.0000, 0.5000)
Rh (0.5000, 0.5000, 0.0000)